[1]
GGA+U MnMoN2O, relaxed; space-group type = P4/mmm
1.0
3.9735 0.0000 0.0000
0.0000 3.9735 0.0000
0.0000 0.0000 3.9031
N O Mo Mn
2 1 1 1
direct
0.5000 0.0000 0.0000
0.0000 0.5000 0.0000
0.0000 0.0000 0.5000
0.0000 0.0000 0.0000
0.5000 0.5000 0.5000


[2]
GGA+U MnMoNO2, relaxed; space-group type = P4/mmm
1.0
-1.6491 -0.0222 -3.5591
0.0663 -3.9221 -0.0063
-3.6273 -0.0640 1.6811
O N Mo Mn
2 1 1 1
direct
0.0000 0.5000 0.0000
0.5000 0.0000 0.0000
0.0000 0.0000 0.5000
0.0000 0.0000 0.0000
0.5000 0.5000 0.5000


[3]
GGA+U MnMoN2O, relaxed; space-group type = P4/mmm
1.0
-2.6840 -0.9198 2.6011
2.6625 -1.8144 2.1058
0.6926 3.1305 1.8217
N Mo Mn O
2 1 1 1
direct
0.5000 0.0000 0.0000
0.0000 0.5000 0.0000
0.5000 0.5000 0.5000
0.0000 0.0000 0.0000
0.0000 0.0000 0.5000


The following energy values (in eV per atom) correspond, in order, to the records above: -7.221; -7.177; -6.693.